1.
Material: Li2Pm5Pd5
Method: DFT, PBE
State: relaxed

a = 12.9921 Å, b = 3.7951 Å, c = 11.2709 Å
α = 90.00°, β = 93.31°, γ = 90.00°
With the nearest neighbours (Å) after each atom.
Space group C2/m (No. 12)
One atom of each set of equivalent atoms:
Li1 0.0405 0.0000 0.2122 x4  4 Pd 2.42-2.69
Pm1 0.0000 0.5000 0.5000 x2  4 Pd 3.02
Pm2 0.1465 0.5000 0.8991 x4  7 Pd 2.96-3.26, 2 Li 3.27
Pm3 0.2201 0.0000 0.3713 x4  1 Li 2.86, 4 Pd 2.86-3.04
Pd1 0.0000 0.0000 0.0000 x2  2 Li 2.42
Pd2 0.1196 0.0000 0.6643 x4  1 Li 2.57, 2 Pm 2.86
Pd3 0.1791 0.5000 0.1634 x4  2 Li 2.69, 1 Pm 2.99

2.
Material: LiPm3Pd3
Method: DFT, PBE
State: relaxed

The offset from the most stable computed form is 0.76 eV per formula unit.

a = 7.7596 Å, b = 11.1881 Å, c = 7.5654 Å
α = 90.00°, β = 95.86°, γ = 90.00°
With the nearest neighbours (Å) after each atom.
Space group C2/m (No. 12)
One atom of each set of equivalent atoms:
Li1 0.2194 0.0000 0.4709 x4  4 Pd 2.47-2.76
Pm1 0.0000 0.2703 0.5000 x4  6 Pd 3.01-3.19, 2 Li 3.36
Pm2 0.0000 0.3125 0.0000 x4  6 Pd 2.89-3.05
Pm3 0.1396 0.0000 0.8465 x4  1 Li 2.97, 5 Pd 2.99-3.17
Pd1 0.0132 0.5000 0.2938 x4  2 Li 2.59-2.76, 2 Pd 2.89
Pd2 0.1996 0.1372 0.2135 x8  1 Li 2.47

3.
Material: Li6PmPd6
Method: DFT, PBE
State: relaxed

a = 5.3811 Å, b = 8.4761 Å, c = 9.2645 Å
α = 90.00°, β = 90.00°, γ = 90.00°
With the nearest neighbours (Å) after each atom.
Space group Immm (No. 71)
One atom of each set of equivalent atoms:
Li1 0.0000 0.0000 0.1426 x4  1 Li 2.64, 6 Pd 2.70-2.79
Li2 0.0000 0.3446 0.5000 x4  1 Li 2.64, 6 Pd 2.80-2.92, 1 Pm 2.92
Li3 0.0000 0.5000 0.2094 x4  6 Pd 2.54-2.63
Pm1 0.0000 0.0000 0.5000 x2  2 Li 2.92, 4 Pd 3.23
Pd1 0.0000 0.2901 0.0000 x4  6 Li 2.63-2.92, 4 Pd 2.70
Pd2 0.2500 0.2500 0.2500 x8  6 Li 2.54-2.80, 4 Pd 2.69-2.70

4.
Material: Li3PmPd
Method: DFT, PBE
State: relaxed

a = 8.1492 Å, b = 12.0489 Å, c = 8.6409 Å
α = 90.00°, β = 103.32°, γ = 90.00°
With the nearest neighbours (Å) after each atom.
Space group C2/c (No. 15)
One atom of each set of equivalent atoms:
Li1 0.0102 0.0885 0.0863 x8  3 Li 2.59-2.87, 3 Pd 2.65-2.89
Li2 0.1712 0.4616 0.3312 x8  1 Pd 2.67, 4 Li 2.74-2.95
Li3 0.2161 0.3600 0.0601 x8  1 Pd 2.55, 1 Li 2.74
Pm1 0.1478 0.2963 0.6345 x8  2 Pd 2.92-2.94, 3 Li 3.15-3.23
Pd1 0.0000 0.1010 0.7500 x4  4 Li 2.55-2.70
Pd2 0.0000 0.2738 0.2500 x4  6 Li 2.65-2.86, 2 Pm 2.94

5.
Material: LiPmPd
Method: DFT, PBE
State: relaxed

The offset from the most stable computed form is 0.00 eV per formula unit.

a = 7.3021 Å, b = 7.3021 Å, c = 4.1681 Å
α = 90.00°, β = 90.00°, γ = 120.00°
With the nearest neighbours (Å) after each atom.
Space group P-62m (No. 189)
One atom of each set of equivalent atoms:
Li1 0.0000 0.7679 0.0000 x3  4 Pd 2.69-2.88, 2 Li 2.94
Pm1 0.0000 0.4118 0.5000 x3  5 Pd 3.01-3.03, 6 Li 3.33-3.34
Pd1 0.0000 0.0000 0.5000 x1  6 Li 2.69, 3 Pm 3.01
Pd2 0.3333 0.6667 0.0000 x2  3 Li 2.88, 6 Pm 3.03

6.
Material: LiPm3Pd
Method: DFT, PBE
State: relaxed

a = 6.6288 Å, b = 9.8045 Å, c = 16.9077 Å
α = 90.00°, β = 90.00°, γ = 90.00°
With the nearest neighbours (Å) after each atom.
Space group Fmmm (No. 69)
One atom of each set of equivalent atoms:
Li1 0.1869 0.0000 0.0000 x8  1 Li 2.48
Pm1 0.0000 0.0000 0.2012 x8  4 Pd 3.07
Pm2 0.0000 0.1828 0.3960 x16  2 Pd 3.05, 2 Li 3.26
Pd1 0.2500 0.2500 0.2500 x8  8 Pm 3.05-3.07, 2 Pd 3.31

Number 1: energy of formation from the pure elements -504 meV/atom, magnetization 0.00 μB per formula unit. Number 2: energy of formation from the pure elements -579 meV/atom, magnetization 0.00 μB per formula unit. Number 3: energy of formation from the pure elements -465 meV/atom, magnetization 0.00 μB per formula unit. Number 4: energy of formation from the pure elements -226 meV/atom, magnetization 0.00 μB per formula unit. Number 5: energy of formation from the pure elements -561 meV/atom, magnetization 0.00 μB per formula unit. Number 6: energy of formation from the pure elements -240 meV/atom, magnetization 0.00 μB per formula unit.